## Tb2GaPb (PBE)

Data for a geometry-optimized Tb2GaPb structure.

CIF file:
```
data_Tb2GaPb
_chemical_formula_sum 'Tb6 Ga3 Pb3'
_symmetry_space_group_name_H-M 'R -3 m'
_symmetry_Int_Tables_number 166
_symmetry_space_group_name_Hall '-R 3 2"'
_cell_length_a 3.7239
_cell_length_b 3.7239
_cell_length_c 27.7509
_cell_angle_alpha 90.00
_cell_angle_beta 90.00
_cell_angle_gamma 120.00
loop_
_atom_site_label
_atom_site_type_symbol
_atom_site_fract_x
_atom_site_fract_y
_atom_site_fract_z
Tb1 Tb 0.0000 0.0000 0.2408
Ga1 Ga 0.0000 0.0000 0.5000
Pb1 Pb 0.0000 0.0000 0.0000
```

Formation energy   -0.409 eV/atom